No. 1
A plane-wave DFT calculation with GGA-PBE was carried out for a relaxed RbNbFeTePd crystal.

Unit cell a=5.781 b=3.515 c=5.886 alpha=90.00 beta=98.73 gamma=90.00
Fractional coordinates of all 5 atoms:
1 Fe 0.192 0.500 0.079
2 Rb 0.767 0.500 0.434
3 Te 0.862 0.000 0.943
4 Pd 0.277 0.000 0.406
5 Nb 0.355 0.000 0.865

SG   Pm (6)
Relative energy among the computed polymorphs   218 meV per atom

=====

No. 2
A plane-wave DFT calculation with GGA-PBE was carried out for a relaxed TaRh4Br crystal.

Unit cell a=5.186 b=5.186 c=5.186 alpha=60.00 beta=60.00 gamma=60.00
Fractional coordinates of all 6 atoms:
1 Rh 0.874 0.375 0.375
2 Rh 0.375 0.874 0.375
3 Rh 0.375 0.375 0.375
4 Rh 0.375 0.375 0.874
5 Ta 0.750 0.750 0.750
6 Br 0.000 0.000 0.000

SG   F-43m (216)

=====

| no. | raw formation energy (eV per formula unit) | magnetic moment (μB per cell) |
| --- | --- | --- |
| 1 | 0.9 | 1.3 |
| 2 | 2.5 | 0.0 |